First-principles (PBE) data for a relaxed NaTeBr3 crystal, as listed in the Alexandria database.

a = 5.3274 Å, b = 5.3274 Å, c = 5.3274 Å
α = 90.00°, β = 90.00°, γ = 90.00°
Closest atoms and distances in Å follow each position.
Fractional positions:
Na 0.0000 0.0000 0.0000  6 Br 2.66
Te 0.5000 0.5000 0.5000  12 Br 3.77
Br 0.0000 0.0000 0.5000  2 Na 2.66
Br 0.0000 0.5000 0.0000  2 Na 2.66
Br 0.5000 0.0000 0.0000  2 Na 2.66

Summary:
For the energy above the most stable polymorph in this dataset, the calculation gives 606 meV/atom. As for the calculated volume: 30.24 A^3/atom.